## HfTe2Pb (meta-GGA SCAN)

Data for HfTe2Pb at its PBEsol-relaxed geometry.

Values from the calculation:
**E_tot**: -53.7776 eV/atom
**ΔE_f (raw)**: -2.15 eV/f.u.
**Density of states at the Fermi level**: 1.87 states/eV/cell

a b c (Å): 3.7407 3.7407 10.2862
angles (deg): 79.52 79.52 60.00
Fractional coordinates of all 4 atoms:
1 Pb 0.0000 0.0000 0.0000
2 Te 0.8943 0.8943 0.3170
3 Te 0.1057 0.1057 0.6830
4 Hf 0.5000 0.5000 0.5000

***

## RbLaF4 (meta-GGA SCAN)

Data for RbLaF4 at its PBEsol-relaxed geometry.

Values from the calculation:
**E_tot**: -16.9849 eV/atom
**ΔE_f (raw)**: -23.91 eV/f.u.
**Density of states at the Fermi level**: 0.00 states/eV/cell

a b c (Å): 3.8244 6.4046 16.0485
angles (deg): 90.00 90.00 90.00
Fractional coordinates of all 24 atoms:
1 Rb 0.2500 0.2221 0.7011
2 Rb 0.2500 0.7221 0.7989
3 Rb 0.7500 0.7779 0.2989
4 Rb 0.7500 0.2779 0.2011
5 La 0.7500 0.2479 0.9416
6 La 0.7500 0.7479 0.5584
7 La 0.2500 0.7521 0.0584
8 La 0.2500 0.2521 0.4416
9 F 0.7500 0.3660 0.5369
10 F 0.7500 0.8660 0.9631
11 F 0.2500 0.6340 0.4631
12 F 0.2500 0.1340 0.0369
13 F 0.2500 0.5002 0.9436
14 F 0.2500 0.0002 0.5564
15 F 0.7500 0.4998 0.0564
16 F 0.7500 0.9998 0.4436
17 F 0.2500 0.1076 0.8691
18 F 0.2500 0.6076 0.6309
19 F 0.7500 0.8924 0.1309
20 F 0.7500 0.3924 0.3691
21 F 0.7500 0.4029 0.8111
22 F 0.7500 0.9029 0.6889
23 F 0.2500 0.5971 0.1889
24 F 0.2500 0.0971 0.3111

***

## CrCdOs2 (meta-GGA SCAN)

Data for CrCdOs2 at its PBEsol-relaxed geometry.

Values from the calculation:
**E_form**: 0.43 eV/atom
**E_tot**: -47.7120 eV/atom
**Density of states at the Fermi level**: 3.23 states/eV/cell

a b c (Å): 2.7275 2.7275 9.1610
angles (deg): 81.44 81.44 60.00
Each line ends with the local moment (μB).
Fractional coordinates of all 4 atoms:
1 Cd 0.5018 0.5018 0.4945  0.00
2 Cr 0.2564 0.2564 0.2308  0.97
3 Os 0.9976 0.9976 0.0071  -0.13
4 Os 0.7441 0.7441 0.7677  0.13

***

## NaTl2Sb (meta-GGA SCAN)

Data for NaTl2Sb at its PBEsol-relaxed geometry.

Values from the calculation:
**E_tot**: -46.6662 eV/atom
**ΔE_f (raw)**: -0.47 eV/f.u.
**Density of states at the Fermi level**: 5.20 states/eV/cell

a b c (Å): 6.1567 7.0134 7.0134
angles (deg): 78.89 63.97 63.97
Fractional coordinates of all 8 atoms:
1 Sb 0.0000 0.0000 0.0000
2 Sb 0.7500 0.5000 0.5000
3 Tl 0.8750 0.0383 0.4617
4 Tl 0.3750 0.9617 0.5383
5 Tl 0.6633 0.4617 0.9617
6 Tl 0.0867 0.5383 0.0383
7 Na 0.5000 0.0000 0.0000
8 Na 0.2500 0.5000 0.5000

***

## BaAl4Sb2O12 (meta-GGA SCAN)

Data for BaAl4Sb2O12 at its PBEsol-relaxed geometry.

Values from the calculation:
**E_tot**: -14.3443 eV/atom
**ΔE_f (raw)**: -52.69 eV/f.u.
**Density of states at the Fermi level**: 0.00 states/eV/cell

a b c (Å): 8.2673 8.2673 8.2673
angles (deg): 106.54 106.54 115.52
Fractional coordinates of all 38 atoms:
1 Al 0.1682 0.9845 0.4839
2 Al 0.5006 0.6843 0.5161
3 Al 0.9845 0.5006 0.8163
4 Al 0.6843 0.1682 0.1837
5 Al 0.8318 0.0155 0.5161
6 Al 0.4994 0.3157 0.4839
7 Al 0.0155 0.4994 0.1837
8 Al 0.3157 0.8318 0.8163
9 Ba 0.2148 0.2148 0.0000
10 Ba 0.7852 0.7852 0.0000
11 O 0.8010 0.8515 0.6526
12 O 0.1990 0.1485 0.3474
13 O 0.8515 0.1990 0.0505
14 O 0.1485 0.8010 0.9495
15 O 0.1295 0.1752 0.6422
16 O 0.5330 0.4873 0.3578
17 O 0.1752 0.5330 0.0457
18 O 0.4873 0.1295 0.9543
19 O 0.8705 0.8248 0.3578
20 O 0.4670 0.5127 0.6422
21 O 0.8248 0.4670 0.9543
22 O 0.5127 0.8705 0.0457
23 O 0.8422 0.4516 0.2938
24 O 0.1578 0.5484 0.7062
25 O 0.4516 0.1578 0.6094
26 O 0.5484 0.8422 0.3906
27 O 0.1552 0.7868 0.2924
28 O 0.4944 0.8628 0.7076
29 O 0.7868 0.4944 0.6316
30 O 0.8628 0.1552 0.3684
31 O 0.8448 0.2132 0.7076
32 O 0.5056 0.1372 0.2924
33 O 0.2132 0.5056 0.3684
34 O 0.1372 0.8448 0.6316
35 Sb 0.8375 0.6496 0.4871
36 Sb 0.1625 0.3504 0.5129
37 Sb 0.6496 0.1625 0.8121
38 Sb 0.3504 0.8375 0.1879

***

## In2CuTe (meta-GGA SCAN)

Data for In2CuTe at its PBEsol-relaxed geometry.

Values from the calculation:
**E_tot**: -29.6367 eV/atom
**ΔE_f (raw)**: 0.68 eV/f.u.
**Density of states at the Fermi level**: 1.34 states/eV/cell

a b c (Å): 3.0938 3.5406 8.1121
angles (deg): 90.00 90.00 90.00
Fractional coordinates of all 4 atoms:
1 Cu 0.5000 0.5000 0.5000
2 In 0.0000 0.0000 0.6991
3 In 0.0000 0.0000 0.3009
4 Te 0.5000 0.5000 0.0000

***

| no. | magnetic moment (μB per formula unit) |
| --- | --- |
| 1 | 0.00 |
| 2 | 0.08 |
| 3 | 1.02 |
| 4 | 0.00 |
| 5 | 0.00 |
| 6 | 0.00 |